First-principles (PBE) data for crystalline Co2ReHg at its relaxed geometry, as listed in Alexandria.

Results
The space group is C2/m (12). The calculated formation energy is 1.999 eV per formula unit.

a b c (Å): 4.449 4.449 5.097
angles (deg): 81.97 81.97 35.98
Each line ends with the local moment (μB).
Fractional positions:
Co (0.993, 0.993, 0.056)  1.01
Co (0.507, 0.507, 0.444)  1.01
Hg (0.750, 0.750, 0.750)  -0.01
Re (0.250, 0.250, 0.250)  0.04


First-principles (PBE) data for crystalline SiAg2Sb at its relaxed geometry, as listed in Alexandria.

Results
The space group is P4mm (99). The formation energy without anion corrections is 1.13 eV/f.u.

a b c (Å): 3.127 3.127 8.113
angles (deg): 90.00 90.00 90.01
Fractional positions:
Ag (0.000, 0.000, 0.987)
Ag (0.500, 0.500, 0.227)
Sb (0.000, 0.000, 0.496)
Si (0.500, 0.500, 0.791)


First-principles (PBE) data for crystalline TeAsPN2 at its relaxed geometry, as listed in Alexandria.

Results
The space group is P4/mmm (123). The formation energy without anion corrections is 5.97 eV/f.u.

a b c (Å): 3.619 3.619 7.210
angles (deg): 90.00 90.00 90.00
Each line ends with the local moment (μB).
Fractional positions:
P (0.000, 0.000, 0.000)  -0.01
As (0.500, 0.500, 0.500)  0.00
Te (0.000, 0.000, 0.500)  0.00
N (0.000, 0.500, 0.000)  0.23
N (0.500, 0.000, 0.000)  0.23


| no. | DOS at the Fermi energy (states/eV per cell) |
| --- | --- |
| 1 | 3.94 |
| 2 | 0.67 |
| 3 | 3.23 |